(1)
A geometry-optimized Pm6Ir3I2 structure, computed with PBE-GGA.

Cell: 7.268 7.268 8.433 Å, 98.32 98.32 120.05°
Fractional positions:
Pm  0.059  0.394  0.181
Pm  0.271  0.271  0.820
Pm  0.394  0.059  0.181
Pm  0.606  0.941  0.819
Pm  0.729  0.729  0.180
Pm  0.941  0.606  0.819
Ir  0.000  0.000  0.000
Ir  0.332  0.668  0.000
Ir  0.668  0.332  0.000
I  0.166  0.834  0.500
I  0.834  0.166  0.500

Output
SG   C2/m
Total moment   0.24 Bohr magnetons per cell
Raw formation energy   -0.8031 eV/atom
Final energy   -6.0929 eV/atom



(2)
A geometry-optimized CeTlGa structure, computed with PBE-GGA.

Cell: 4.641 4.641 8.396 Å, 90.00 90.00 120.00°
Fractional positions:
Ce  0.000  0.000  0.228
Ce  0.000  0.000  0.772
Tl  0.333  0.667  0.431
Tl  0.667  0.333  0.569
Ga  0.333  0.667  0.966
Ga  0.667  0.333  0.034

Output
SG   P-3m1
Total moment   1.38 Bohr magnetons per cell
Final energy   -4.0635 eV/atom



(3)
A geometry-optimized NaCe5Sn6 structure, computed with PBE-GGA.

Cell: 5.765 6.811 8.394 Å, 90.00 95.83 90.00°
Fractional positions:
Na  0.000  0.000  0.000
Ce  0.000  0.500  0.000
Ce  0.302  0.000  0.663
Ce  0.313  0.500  0.670
Ce  0.687  0.500  0.330
Ce  0.698  0.000  0.337
Sn  0.190  0.248  0.322
Sn  0.190  0.752  0.322
Sn  0.500  0.241  0.000
Sn  0.500  0.759  0.000
Sn  0.810  0.248  0.678
Sn  0.810  0.752  0.678

Output
SG   P2/m
Total moment   5.11 Bohr magnetons per cell
Final energy   -5.1122 eV/atom



(4)
A geometry-optimized Tb4Cd5Ir2 structure, computed with PBE-GGA.

Cell: 7.719 3.671 9.597 Å, 90.00 94.24 90.00°
Fractional positions:
Tb  0.170  0.000  0.350
Tb  0.213  0.000  0.945
Tb  0.787  0.000  0.055
Tb  0.830  0.000  0.650
Cd  0.187  0.500  0.652
Cd  0.455  0.500  0.173
Cd  0.500  0.500  0.500
Cd  0.545  0.500  0.827
Cd  0.813  0.500  0.348
Ir  0.075  0.500  0.144
Ir  0.925  0.500  0.856

Output
SG   P2/m
Total moment   0.00 Bohr magnetons per cell
Final energy   -4.2010 eV/atom